The following is a PBE calculation of a relaxed BaSr8Li2 crystal, from the Alexandria database.

## Properties
**ΔE to the lowest computed polymorph**: 0.0 kJ/mol of atoms
**Total magnetization**: 0.000 μB/cell
**E**: -1.709 eV/atom
**Energy of formation from the pure elements**: 0.0370 eV/atom
**DOS(E_F)**: 22.67 states/eV per cell

CIF file:
```
data_BaSr8Li2
_symmetry_space_group_name_H-M 'C 1 2/m 1'
_symmetry_Int_Tables_number 12
_cell_length_a 19.9037
_cell_length_b 6.2531
_cell_length_c 9.6843
_cell_angle_alpha 90.00
_cell_angle_beta 114.28
_cell_angle_gamma 90.00
loop_
_symmetry_equiv_pos_as_xyz
'x,y,z'
'-x,-y,-z'
'-x,y,-z'
'x,-y,z'
'x+1/2,y+1/2,z'
'-x+1/2,-y+1/2,-z'
'-x+1/2,y+1/2,-z'
'x+1/2,-y+1/2,z'
loop_
_atom_site_label
_atom_site_type_symbol
_atom_site_fract_x
_atom_site_fract_y
_atom_site_fract_z
Ba1 Ba 0.0000 0.0000 0.0000
Sr1 Sr 0.0545 0.5000 0.7365
Sr2 Sr 0.1072 0.0000 0.4801
Sr3 Sr 0.1583 0.5000 0.2354
Sr4 Sr 0.1881 0.0000 0.9436
Li1 Li 0.2244 0.5000 0.6567
```

***

The following is a PBE calculation of a relaxed Ba4Sr5Li crystal, from the Alexandria database.

## Properties
**ΔE to the lowest computed polymorph**: 0.0 kJ/mol of atoms
**Total magnetization**: 0.000 μB/cell
**E**: -1.783 eV/atom
**Energy of formation from the pure elements**: 0.0188 eV/atom
**DOS(E_F)**: 12.43 states/eV per cell

CIF file:
```
data_Ba4Sr5Li
_symmetry_space_group_name_H-M 'P 4/m m m'
_symmetry_Int_Tables_number 123
_symmetry_space_group_name_Hall '-P 4 2'
_cell_length_a 4.3856
_cell_length_b 4.3856
_cell_length_c 28.8770
_cell_angle_alpha 90.00
_cell_angle_beta 90.00
_cell_angle_gamma 90.00
loop_
_atom_site_label
_atom_site_type_symbol
_atom_site_fract_x
_atom_site_fract_y
_atom_site_fract_z
Ba1 Ba 0.0000 0.0000 0.1068
Ba2 Ba 0.0000 0.0000 0.3215
Sr1 Sr 0.5000 0.5000 0.0000
Sr2 Sr 0.5000 0.5000 0.2138
Sr3 Sr 0.5000 0.5000 0.4296
Li1 Li 0.0000 0.0000 0.5000
```

***

The following is a PBE calculation of a relaxed BaSrLi10 crystal, from the Alexandria database.

## Properties
**Total magnetization**: 0.000 μB/cell
**E**: -1.875 eV/atom
**Energy of formation from the pure elements**: 0.0205 eV/atom
**DOS(E_F)**: 7.76 states/eV per cell

CIF file:
```
data_BaSrLi10
_symmetry_space_group_name_H-M 'P m m m'
_symmetry_Int_Tables_number 47
_cell_length_a 4.6926
_cell_length_b 6.3861
_cell_length_c 11.0096
_cell_angle_alpha 90.00
_cell_angle_beta 90.00
_cell_angle_gamma 90.00
loop_
_symmetry_equiv_pos_as_xyz
'x,y,z'
'-x,-y,-z'
'-x,-y,z'
'x,y,-z'
'x,-y,-z'
'-x,y,z'
'-x,y,-z'
'x,-y,z'
loop_
_atom_site_label
_atom_site_type_symbol
_atom_site_fract_x
_atom_site_fract_y
_atom_site_fract_z
Ba1 Ba 0.0000 0.0000 0.0000
Sr1 Sr 0.0000 0.5000 0.5000
Li1 Li 0.0000 0.0000 0.3382
Li2 Li 0.0000 0.5000 0.1706
Li3 Li 0.5000 0.0000 0.5000
Li4 Li 0.5000 0.2547 0.2586
Li5 Li 0.5000 0.5000 0.0000
```

***

The following is a PBE calculation of a relaxed Ba2Sr8Li crystal, from the Alexandria database.

## Properties
**ΔE to the lowest computed polymorph**: 1.2 kJ/mol of atoms
**Total magnetization**: 0.000 μB/cell
**E**: -1.697 eV/atom
**Energy of formation from the pure elements**: 0.0500 eV/atom
**DOS(E_F)**: 11.12 states/eV per cell

CIF file:
```
data_Ba2Sr8Li
_symmetry_space_group_name_H-M 'P 4/m m m'
_symmetry_Int_Tables_number 123
_symmetry_space_group_name_Hall '-P 4 2'
_cell_length_a 6.0485
_cell_length_b 6.0485
_cell_length_c 16.5560
_cell_angle_alpha 90.00
_cell_angle_beta 90.00
_cell_angle_gamma 90.00
loop_
_atom_site_label
_atom_site_type_symbol
_atom_site_fract_x
_atom_site_fract_y
_atom_site_fract_z
Ba1 Ba 0.0000 0.0000 0.1902
Sr1 Sr 0.0000 0.5000 0.0000
Sr2 Sr 0.0000 0.5000 0.3763
Sr3 Sr 0.5000 0.5000 0.1870
Li1 Li 0.0000 0.0000 0.5000
```

***

The following is a PBE calculation of a relaxed Ba2SrLi crystal, from the Alexandria database.

## Properties
**ΔE to the lowest computed polymorph**: 6.4 kJ/mol of atoms
**Total magnetization**: 0.000 μB/cell
**E**: -1.769 eV/atom
**Energy of formation from the pure elements**: 0.0910 eV/atom
**DOS(E_F)**: 4.58 states/eV per cell

CIF file:
```
data_Ba2SrLi
_symmetry_space_group_name_H-M 'P m m m'
_symmetry_Int_Tables_number 47
_cell_length_a 4.9794
_cell_length_b 6.3678
_cell_length_c 6.5113
_cell_angle_alpha 90.00
_cell_angle_beta 90.00
_cell_angle_gamma 90.00
loop_
_symmetry_equiv_pos_as_xyz
'x,y,z'
'-x,-y,-z'
'-x,-y,z'
'x,y,-z'
'x,-y,-z'
'-x,y,z'
'-x,y,-z'
'x,-y,z'
loop_
_atom_site_label
_atom_site_type_symbol
_atom_site_fract_x
_atom_site_fract_y
_atom_site_fract_z
Ba1 Ba 0.0000 0.0000 0.0000
Ba2 Ba 0.5000 0.0000 0.5000
Sr1 Sr 0.0000 0.5000 0.5000
Li1 Li 0.5000 0.5000 0.0000
```

***

The following is a PBE calculation of a relaxed BaSr5Li crystal, from the Alexandria database.

## Properties
**ΔE to the lowest computed polymorph**: 0.7 kJ/mol of atoms
**Total magnetization**: 0.000 μB/cell
**E**: -1.665 eV/atom
**Energy of formation from the pure elements**: 0.0839 eV/atom
**DOS(E_F)**: 7.60 states/eV per cell

CIF file:
```
data_BaSr5Li
_symmetry_space_group_name_H-M 'P 4/m m m'
_symmetry_Int_Tables_number 123
_symmetry_space_group_name_Hall '-P 4 2'
_cell_length_a 6.0053
_cell_length_b 6.0053
_cell_length_c 10.4420
_cell_angle_alpha 90.00
_cell_angle_beta 90.00
_cell_angle_gamma 90.00
loop_
_atom_site_label
_atom_site_type_symbol
_atom_site_fract_x
_atom_site_fract_y
_atom_site_fract_z
Ba1 Ba 0.0000 0.0000 0.0000
Sr1 Sr 0.0000 0.5000 0.3029
Sr2 Sr 0.5000 0.5000 0.0000
Li1 Li 0.5000 0.5000 0.5000
```

***

The following is a PBE calculation of a relaxed BaSrLi2 crystal, from the Alexandria database.

## Properties
**ΔE to the lowest computed polymorph**: 1.1 kJ/mol of atoms
**Total magnetization**: 0.001 μB/cell
**E**: -1.814 eV/atom
**Energy of formation from the pure elements**: 0.0439 eV/atom
**DOS(E_F)**: 5.36 states/eV per cell

CIF file:
```
data_BaSrLi2
_symmetry_space_group_name_H-M 'P 4 m m'
_symmetry_Int_Tables_number 99
_cell_length_a 4.1164
_cell_length_b 4.1164
_cell_length_c 9.3572
_cell_angle_alpha 90.00
_cell_angle_beta 90.00
_cell_angle_gamma 90.00
loop_
_symmetry_equiv_pos_as_xyz
'x,y,z'
'-y,x,z'
'-x,-y,z'
'y,-x,z'
'-x,y,z'
'y,x,z'
'x,-y,z'
'-y,-x,z'
loop_
_atom_site_label
_atom_site_type_symbol
_atom_site_fract_x
_atom_site_fract_y
_atom_site_fract_z
Ba1 Ba 0.0000 0.0000 0.0000
Sr1 Sr 0.5000 0.5000 0.6412
Li1 Li 0.0000 0.0000 0.3916
Li2 Li 0.5000 0.5000 0.2654
```

***

The following is a PBE calculation of a relaxed Ba2Sr2Li crystal, from the Alexandria database.

## Properties
**ΔE to the lowest computed polymorph**: 24.5 kJ/mol of atoms
**Total magnetization**: 0.000 μB/cell
**E**: -1.552 eV/atom
**Energy of formation from the pure elements**: 0.2731 eV/atom
**DOS(E_F)**: 11.74 states/eV per cell

CIF file:
```
data_Ba2Sr2Li
_symmetry_space_group_name_H-M 'I 4/m m m'
_symmetry_Int_Tables_number 139
_symmetry_space_group_name_Hall '-I 4 2'
_cell_length_a 5.0959
_cell_length_b 5.0959
_cell_length_c 22.4992
_cell_angle_alpha 90.00
_cell_angle_beta 90.00
_cell_angle_gamma 90.00
loop_
_atom_site_label
_atom_site_type_symbol
_atom_site_fract_x
_atom_site_fract_y
_atom_site_fract_z
Ba1 Ba 0.0000 0.0000 0.0916
Sr1 Sr 0.0000 0.5000 0.2500
Li1 Li 0.0000 0.0000 0.5000
```

***

The following is a PBE calculation of a relaxed BaSrLi2 crystal, from the Alexandria database.

## Properties
**ΔE to the lowest computed polymorph**: 18.5 kJ/mol of atoms
**Total magnetization**: 0.000 μB/cell
**E**: -1.634 eV/atom
**Energy of formation from the pure elements**: 0.2239 eV/atom
**DOS(E_F)**: 19.36 states/eV per cell

CIF file:
```
data_BaSrLi2
_symmetry_space_group_name_H-M 'I -4 2 d'
_symmetry_Int_Tables_number 122
_symmetry_space_group_name_Hall 'I -4 2bw'
_cell_length_a 9.3638
_cell_length_b 9.3638
_cell_length_c 7.7777
_cell_angle_alpha 90.00
_cell_angle_beta 90.00
_cell_angle_gamma 90.00
loop_
_atom_site_label
_atom_site_type_symbol
_atom_site_fract_x
_atom_site_fract_y
_atom_site_fract_z
Ba1 Ba 0.0000 0.0000 0.0000
Sr1 Sr 0.0000 0.0000 0.5000
Li1 Li 0.2416 0.2500 0.6250
```

***

The following is a PBE calculation of a relaxed BaSrLi4 crystal, from the Alexandria database.

## Properties
**Total magnetization**: 0.000 μB/cell
**E**: -1.852 eV/atom
**Energy of formation from the pure elements**: 0.0244 eV/atom
**DOS(E_F)**: 23.65 states/eV per cell

CIF file:
```
data_BaSrLi4
_symmetry_space_group_name_H-M 'F -4 3 m'
_symmetry_Int_Tables_number 216
_symmetry_space_group_name_Hall 'F -4 2 3'
_cell_length_a 9.2663
_cell_length_b 9.2663
_cell_length_c 9.2663
_cell_angle_alpha 90.00
_cell_angle_beta 90.00
_cell_angle_gamma 90.00
loop_
_atom_site_label
_atom_site_type_symbol
_atom_site_fract_x
_atom_site_fract_y
_atom_site_fract_z
Ba1 Ba 0.0000 0.0000 0.0000
Sr1 Sr 0.2500 0.2500 0.7500
Li1 Li 0.1230 0.1230 0.3770
```

***

The following is a PBE calculation of a relaxed Ba2SrLiTa crystal, from the Alexandria database.

## Properties
**Total magnetization**: 0.426 μB/cell
**E**: -2.975 eV/atom
**Energy of formation from the pure elements**: 0.8833 eV/atom
**DOS(E_F)**: 6.86 states/eV per cell

CIF file:
```
data_Ba2SrLiTa
_symmetry_space_group_name_H-M 'P 4/m m m'
_symmetry_Int_Tables_number 123
_symmetry_space_group_name_Hall '-P 4 2'
_cell_length_a 6.1754
_cell_length_b 6.1754
_cell_length_c 6.2228
_cell_angle_alpha 90.00
_cell_angle_beta 90.00
_cell_angle_gamma 90.00
loop_
_atom_site_label
_atom_site_type_symbol
_atom_site_fract_x
_atom_site_fract_y
_atom_site_fract_z
Ba1 Ba 0.0000 0.5000 0.0000
Sr1 Sr 0.0000 0.0000 0.5000
Li1 Li 0.5000 0.5000 0.5000
Ta1 Ta 0.0000 0.0000 0.0000
```

***

The following is a PBE calculation of a relaxed BaSrLi2Ti crystal, from the Alexandria database.

## Properties
**Total magnetization**: 2.448 μB/cell
**E**: -2.122 eV/atom
**Energy of formation from the pure elements**: 0.9434 eV/atom
**DOS(E_F)**: 6.50 states/eV per cell

CIF file:
```
data_BaSrLi2Ti
_symmetry_space_group_name_H-M 'P 4/m m m'
_symmetry_Int_Tables_number 123
_symmetry_space_group_name_Hall '-P 4 2'
_cell_length_a 5.6453
_cell_length_b 5.6453
_cell_length_c 5.6752
_cell_angle_alpha 90.00
_cell_angle_beta 90.00
_cell_angle_gamma 90.00
loop_
_atom_site_label
_atom_site_type_symbol
_atom_site_fract_x
_atom_site_fract_y
_atom_site_fract_z
Ba1 Ba 0.0000 0.0000 0.0000
Sr1 Sr 0.5000 0.5000 0.5000
Li1 Li 0.0000 0.5000 0.0000
Ti1 Ti 0.0000 0.0000 0.5000
```